Entry 1:
# AlSb2P | the Alexandria database | PBE | optimized geometry
# volume = 88.2 Å³/f.u.
# ΔE_f (raw) = 402.2 meV/atom
data_AlSb2P
_symmetry_space_group_name_H-M 'C 1 2/m 1'
_symmetry_Int_Tables_number 12
_symmetry_space_group_name_Hall '-C 2y'
_cell_length_a 6.321
_cell_length_b 9.059
_cell_length_c 3.307
_cell_angle_alpha 90.00
_cell_angle_beta 111.42
_cell_angle_gamma 90.00
loop_
_atom_site_label
_atom_site_fract_x
_atom_site_fract_y
_atom_site_fract_z
Al1 0.000 0.000 0.000
Sb1 0.250 0.250 0.500
P1 0.000 0.500 0.000

Entry 2:
# RbBeSi | the Alexandria database | PBE | optimized geometry
# volume = 73.3 Å³/f.u.
# ΔE_f (raw) = 326.6 meV/atom
data_RbBeSi
_symmetry_space_group_name_H-M 'A m m 2'
_symmetry_Int_Tables_number 38
_symmetry_space_group_name_Hall 'A 2 -2'
_cell_length_a 5.875
_cell_length_b 3.335
_cell_length_c 7.484
_cell_angle_alpha 90.00
_cell_angle_beta 90.00
_cell_angle_gamma 90.00
loop_
_atom_site_label
_atom_site_fract_x
_atom_site_fract_y
_atom_site_fract_z
Rb1 0.000 0.000 0.000
Be1 0.500 0.000 0.623
Si1 0.500 0.000 0.329

Entry 3:
# CsHoCoBr6 | the Alexandria database | PBE | optimized geometry
# volume = 354.3 Å³/f.u.
# ΔE_f (raw) = -1322.1 meV/atom
data_CsHoCoBr6
_symmetry_space_group_name_H-M 'C 1 2 1'
_symmetry_Int_Tables_number 5
_symmetry_space_group_name_Hall 'C 2y'
_cell_length_a 7.056
_cell_length_b 12.237
_cell_length_c 8.206
_cell_angle_alpha 90.00
_cell_angle_beta 90.32
_cell_angle_gamma 90.00
loop_
_atom_site_label
_atom_site_fract_x
_atom_site_fract_y
_atom_site_fract_z
Cs1 0.000 0.000 0.000
Ho1 0.000 0.667 0.500
Co1 0.000 0.333 0.500
Br1 0.119 0.491 0.693
Br2 0.173 0.192 0.689
Br3 0.201 0.818 0.689

Entry 4:
# KYI2 | the Alexandria database | PBE | optimized geometry
# volume = 131.3 Å³/f.u.
# ΔE_f (raw) = -683.3 meV/atom
data_KYI2
_symmetry_space_group_name_H-M 'F m -3 m'
_symmetry_Int_Tables_number 225
_symmetry_space_group_name_Hall '-F 4 2 3'
_cell_length_a 8.067
_cell_length_b 8.067
_cell_length_c 8.067
_cell_angle_alpha 90.00
_cell_angle_beta 90.00
_cell_angle_gamma 90.00
loop_
_atom_site_label
_atom_site_fract_x
_atom_site_fract_y
_atom_site_fract_z
K1 0.000 0.000 0.000
Y1 0.000 0.000 0.500
I1 0.250 0.250 0.250

Entry 5:
# Ce3NdCo8 | the Alexandria database | PBE | optimized geometry
# volume = 179.6 Å³/f.u.
# formation energy = -0.180 eV/atom
data_Ce3NdCo8
_symmetry_space_group_name_H-M 'R 3 m'
_symmetry_Int_Tables_number 160
_symmetry_space_group_name_Hall 'R 3 -2"'
_cell_length_a 5.0278
_cell_length_b 5.0278
_cell_length_c 24.6071
_cell_angle_alpha 90.00
_cell_angle_beta 90.00
_cell_angle_gamma 120.00
loop_
_atom_site_label
_atom_site_fract_x
_atom_site_fract_y
_atom_site_fract_z
Ce1 0.0000 0.0000 0.0000
Ce2 0.0000 0.0000 0.1235
Ce3 0.0000 0.0000 0.6288
Nd1 0.0000 0.0000 0.5024
Co1 0.0000 0.0000 0.3139
Co2 0.0000 0.0000 0.8141
Co3 0.0005 0.5003 0.5652
Co4 0.1671 0.3342 0.3964

Entry 6:
# IrPd2Se6 | the Alexandria database | PBE | optimized geometry
# volume = 208.4 Å³/f.u.
# ΔE_f (raw) = -261.7 meV/atom
data_IrPd2Se6
_symmetry_space_group_name_H-M 'C 1 2/m 1'
_symmetry_Int_Tables_number 12
_symmetry_space_group_name_Hall '-C 2y'
_cell_length_a 18.015
_cell_length_b 3.838
_cell_length_c 6.149
_cell_angle_alpha 90.00
_cell_angle_beta 101.43
_cell_angle_gamma 90.00
loop_
_atom_site_label
_atom_site_fract_x
_atom_site_fract_y
_atom_site_fract_z
Ir1 0.000 0.000 0.000
Pd1 0.167 0.500 0.325
Se1 0.025 0.500 0.269
Se2 0.141 0.000 0.047
Se3 0.188 0.000 0.604

Entry 7:
# SrTl3Pd2 | the Alexandria database | PBE | optimized geometry
# volume = 152.6 Å³/f.u.
# formation energy = -0.211 eV/atom
data_SrTl3Pd2
_symmetry_space_group_name_H-M 'R -3 m'
_symmetry_Int_Tables_number 166
_symmetry_space_group_name_Hall '-R 3 2"'
_cell_length_a 6.9616
_cell_length_b 6.9616
_cell_length_c 21.8101
_cell_angle_alpha 90.00
_cell_angle_beta 90.00
_cell_angle_gamma 120.00
loop_
_atom_site_label
_atom_site_fract_x
_atom_site_fract_y
_atom_site_fract_z
Sr1 0.0000 0.0000 0.2242
Tl1 0.0062 0.5031 0.2403
Pd1 0.0000 0.0000 0.0000
Pd2 0.0000 0.5000 0.0000

Entry 8:
# KSr2Br | the Alexandria database | PBE | optimized geometry
# volume = 195.0 Å³/f.u.
# ΔE_f (raw) = -658.2 meV/atom
data_KSr2Br
_symmetry_space_group_name_H-M 'I m m m'
_symmetry_Int_Tables_number 71
_symmetry_space_group_name_Hall '-I 2 2'
_cell_length_a 4.129
_cell_length_b 7.091
_cell_length_c 13.320
_cell_angle_alpha 90.00
_cell_angle_beta 90.00
_cell_angle_gamma 90.00
loop_
_atom_site_label
_atom_site_fract_x
_atom_site_fract_y
_atom_site_fract_z
K1 0.000 0.000 0.000
Sr1 0.000 0.500 0.194
Br1 0.000 0.000 0.500

Record-wise DOS(E_F) values, in states/eV/cell: 3.11, 1.79, 2.05, 7.92, 52.80, 5.53, 24.80, 6.25